Compound: ZnCd2Bi
Source: Alexandria via LeMat-Bulk
Functional: GGA-PBEsol
Structure: relaxed

It has space group Fm-3m (No. 225), with a = 7.1802 Å, b = 7.1802 Å, c = 7.1802 Å, α = 90.00°, β = 90.00° and γ = 90.00°. The asymmetric unit holds Zn at (0.0000, 0.0000, 0.0000), Cd at (0.2500, 0.2500, 0.2500) and Bi at (0.0000, 0.0000, 0.5000).

The calculation puts the density at 9.0 g/cm³. The calculation puts the formation energy at 0.7 eV/f.u. The total energy is -1.88 eV/atom. The value obtained for the density of states at the Fermi level is 0.382 states/eV/atom.